Entry 1:
{"formula": "LiCu3Sn4", "functional": "GGA-PBE", "state": "optimized geometry", "cell": [[4.332, 0.000, 0.000], [-2.166, 3.751, 0.000], [0.000, 0.000, 19.758]], "species": ["Cu", "Cu", "Cu", "Cu", "Cu", "Cu", "Li", "Li", "Sn", "Sn", "Sn", "Sn", "Sn", "Sn", "Sn", "Sn"], "frac_coords": [[0.000, 0.000, 0.164], [0.333, 0.667, 0.350], [0.333, 0.667, 0.480], [0.000, 0.000, 0.664], [0.667, 0.333, 0.850], [0.667, 0.333, 0.980], [0.333, 0.667, 0.212], [0.667, 0.333, 0.712], [0.000, 0.000, 0.029], [0.667, 0.333, 0.126], [0.000, 0.000, 0.296], [0.667, 0.333, 0.408], [0.000, 0.000, 0.529], [0.333, 0.667, 0.626], [0.000, 0.000, 0.796], [0.333, 0.667, 0.908]], "dft_energy_ev_per_atom": -3.712}

Entry 2:
{"formula": "Ho5ThSb6", "functional": "GGA-PBE", "state": "optimized geometry", "cell": [[1.045, 6.990, 2.818], [-6.580, -3.633, 1.182], [4.496, -3.952, 4.706]], "species": ["Ho", "Ho", "Ho", "Ho", "Ho", "Sb", "Sb", "Sb", "Sb", "Sb", "Sb", "Th"], "frac_coords": [[0.667, 0.333, 0.000], [0.333, 0.667, 0.000], [0.836, 0.164, 0.500], [0.500, 0.500, 0.500], [0.164, 0.836, 0.500], [0.745, 0.745, 0.251], [0.423, 0.085, 0.254], [0.085, 0.423, 0.254], [0.915, 0.577, 0.746], [0.577, 0.915, 0.746], [0.255, 0.255, 0.749], [0.000, 0.000, 0.000]], "m_tot_mub_per_cell": 0.00, "dft_energy_ev_per_atom": -5.675}

Entry 3:
{"formula": "Nd2AgAu3", "functional": "GGA-PBE", "state": "optimized geometry", "cell": [[-1.109, -3.642, 0.598], [1.800, 0.012, 3.408], [-7.806, 3.053, 4.111]], "species": ["Ag", "Au", "Au", "Au", "Nd", "Nd"], "frac_coords": [[0.000, 0.000, 0.327], [0.500, 0.500, 0.170], [0.000, 0.000, 0.661], [0.500, 0.500, 0.837], [0.500, 0.500, 0.507], [0.000, 0.000, 0.997]], "m_tot_mub_per_cell": 0.00, "dft_energy_ev_per_atom": -4.361}

Entry 4:
{"formula": "KTbTeO", "functional": "GGA-PBE", "state": "optimized geometry", "cell": [[8.763, 0.000, 0.217], [0.000, 7.496, 0.000], [-0.970, 0.000, 6.607]], "species": ["K", "K", "K", "K", "O", "O", "O", "O", "Tb", "Tb", "Tb", "Tb", "Te", "Te", "Te", "Te"], "frac_coords": [[0.873, 0.382, 0.148], [0.127, 0.882, 0.352], [0.873, 0.118, 0.648], [0.127, 0.618, 0.852], [0.573, 0.358, 0.110], [0.427, 0.858, 0.390], [0.573, 0.142, 0.610], [0.427, 0.642, 0.890], [0.513, 0.635, 0.211], [0.487, 0.135, 0.289], [0.513, 0.865, 0.711], [0.487, 0.365, 0.789], [0.761, 0.924, 0.111], [0.239, 0.424, 0.389], [0.761, 0.576, 0.611], [0.239, 0.076, 0.889]], "m_tot_mub_per_cell": 0.00, "dft_energy_ev_per_atom": -5.577}